1.
Below is crystalline MnZnCd at its relaxed geometry, with properties calculated at the PBE level.

Space-group type ... I4mm (107)
ΔH_f (0 K) ... 0.43 eV per formula unit
Total energy ... -3.6431 eV/atom
M_tot ... 3.39 μB/cell

Cell: 6.2576 6.2576 6.2576 Å, 153.14 153.14 38.35°
Closest atoms and distances in Å follow each position.
Sites, in units of the cell vectors:
Mn 0.0000 0.0000 0.0000  4 Zn 2.65, 4 Mn 2.91, 4 Cd 2.92
Zn 0.3588 0.3588 0.0000  4 Mn 2.65, 4 Zn 2.91
Cd 0.6758 0.6758 0.0000  4 Cd 2.91, 4 Mn 2.92, 4 Zn 2.98

---

2.
Below is crystalline MnZnCd2 at its relaxed geometry, with properties calculated at the PBE level.

Space-group type ... Cm (8)
ΔH_f (0 K) ... 0.73 eV per formula unit
Total energy ... -2.8856 eV/atom
M_tot ... 3.58 μB/cell

Cell: 5.0226 5.0226 5.2200 Å, 101.92 101.92 34.47°
Closest atoms and distances in Å follow each position.
Sites, in units of the cell vectors:
Mn 0.0000 0.0000 0.0000  2 Zn 2.71, 5 Cd 2.90-2.93, 2 Mn 2.98
Zn 0.2706 0.2706 0.7738  2 Mn 2.71, 5 Cd 2.90-2.95, 2 Zn 2.98
Cd 0.5185 0.5185 0.5241  3 Zn 2.90-2.95, 4 Mn 2.93-3.09, 5 Cd 2.94-3.04
Cd 0.7532 0.7532 0.2422  3 Mn 2.90-2.92, 4 Zn 2.90-3.12, 5 Cd 2.94-3.04

---

3.
Below is crystalline MnZnCd2 at its relaxed geometry, with properties calculated at the PBE level.

Space-group type ... P4/mmm (123)
ΔH_f (0 K) ... 0.75 eV per formula unit
Total energy ... -2.8803 eV/atom
M_tot ... 3.66 μB/cell

Cell: 3.0543 3.0543 7.7583 Å, 90.00 90.00 90.00°
Closest atoms and distances in Å follow each position.
Sites, in units of the cell vectors:
Mn 0.0000 0.0000 0.0000  8 Cd 2.89, 4 Mn 3.05
Zn 0.0000 0.0000 0.5000  8 Cd 2.91, 4 Zn 3.05
Cd 0.5000 0.5000 0.2479  4 Mn 2.89, 4 Zn 2.91, 4 Cd 3.05
Cd 0.5000 0.5000 0.7521  4 Mn 2.89, 4 Zn 2.91, 4 Cd 3.05

---

4.
Below is crystalline Mn2ZnCd at its relaxed geometry, with properties calculated at the PBE level.

Space-group type ... P2/m (10)
ΔH_f (0 K) ... 0.87 eV per formula unit
Total energy ... -4.9158 eV/atom
Distance to the lowest polymorph of the same formula ... 87.3 meV/atom
M_tot ... 6.36 μB/cell

Cell: 2.8712 3.7174 5.8049 Å, 90.00 90.09 90.00°
Closest atoms and distances in Å follow each position.
Sites, in units of the cell vectors:
Mn 0.0000 0.0000 0.2274  3 Mn 2.64-2.87, 4 Zn 2.69, 4 Cd 2.83
Mn 0.0000 0.0000 0.7726  3 Mn 2.64-2.87, 4 Zn 2.69, 4 Cd 2.83
Zn 0.5000 0.5000 0.0000  8 Mn 2.69, 2 Zn 2.87, 2 Cd 2.90
Cd 0.5000 0.5000 0.5000  8 Mn 2.83, 2 Cd 2.87, 2 Zn 2.90